# RuSN2F, relaxed, DFT GGA-PBE
data_RuSN2F
_cell_length_a 3.728
_cell_length_b 3.728
_cell_length_c 4.042
_cell_angle_alpha 90.00
_cell_angle_beta 90.00
_cell_angle_gamma 90.00
_space_group_name_H-M_alt 'P 4/m m m'
_space_group_IT_number 123
_space_group_name_Hall '-P 4 2'
loop_
_atom_site_label
_atom_site_fract_x
_atom_site_fract_y
_atom_site_fract_z
Ru1 0.000 0.000 0.000
S1 0.500 0.500 0.000
N1 0.000 0.500 0.500
F1 0.500 0.500 0.500
# formation energy from raw total energies: 2.32 eV per atom
# raw total energy: -4.064 eV/atom
# excess energy over the best structure of this formula in the dataset: 1504 meV per atom
# mass density: 5.32 g/cm3